(1)
Ba2LiCaH | the Alexandria database | GGA-PBE | optimized geometry; total DFT energy (no corrections) = -11.34 eV/f.u.; D(E_F) = 0.885 states/eV per atom
1.0
5.8057 0.0000 0.0000
0.0000 5.8057 0.0000
0.0000 0.0000 5.3453
Ba Li H Ca
2 1 1 1
Direct
0.0000 0.5000 0.0000
0.5000 0.0000 0.0000
0.0000 0.0000 0.5000
0.0000 0.0000 0.0000
0.5000 0.5000 0.5000

(2)
ScRh2Se | the Alexandria database | GGA-PBE | optimized geometry; D(E_F) = 0.693 states/eV per atom; ΔE_f (raw) = -0.55 eV per atom
1.0
-0.3502 2.9920 1.9717
0.8323 -1.8580 2.9675
4.9691 1.0619 -0.7288
Rh Sc Se
2 1 1
Direct
0.0000 0.0000 0.0040
0.5000 0.5000 0.2455
0.0000 0.0000 0.4884
0.5000 0.5000 0.7622

(3)
Li3MnBi | the Alexandria database | GGA-PBE | optimized geometry; D(E_F) = 0.304 states/eV per atom; energy of formation from the pure elements = 175 kJ/mol of formula units
1.0
5.2553 0.0000 0.0000
0.0000 5.2553 0.0000
0.0000 0.0000 5.2553
Li Mn Bi
3 1 1
Direct
0.5000 0.0000 0.0000
0.0000 0.0000 0.5000
0.0000 0.5000 0.0000
0.5000 0.5000 0.5000
0.0000 0.0000 0.0000

(4)
Ba8SrSb6 | the Alexandria database | GGA-PBE | optimized geometry; ΔE_f (raw) = -1.01 eV per atom
1.0
-7.5279 -1.4439 -6.7627
-9.7038 -0.4750 3.1779
-6.3853 6.7229 -2.0529
Sb Ba Sr
6 8 1
Direct
0.2596 0.6015 0.2092
0.7404 0.3985 0.7908
0.3985 0.0702 0.7908
0.9298 0.2596 0.2092
0.6015 0.9298 0.2092
0.0702 0.7404 0.7908
0.5641 0.2322 0.3048
0.6665 0.6665 0.0004
0.8989 0.5641 0.3048
0.1011 0.4359 0.6952
0.3335 0.3335 0.9996
0.7678 0.1011 0.6952
0.2322 0.8989 0.3048
0.4359 0.7678 0.6952
0.0000 0.0000 0.0000

(5)
Si2RhSe | the Alexandria database | GGA-PBE | optimized geometry; D(E_F) = 0.453 states/eV per atom; ΔE_f (raw) = 0.31 eV per atom
1.0
4.8512 0.0000 0.0000
0.0000 3.6513 0.0000
0.0000 0.0000 3.6513
Se Si Rh
1 2 1
Direct
0.5000 0.0000 0.5000
0.0000 0.0000 0.0000
0.0000 0.5000 0.5000
0.5000 0.5000 0.0000

(6)
SrHgS2O8 | the Alexandria database | GGA-PBE | optimized geometry; D(E_F) = 0.000 states/eV per atom; ΔE_f (raw) = -1.58 eV per atom
1.0
5.1251 0.0000 0.0000
-2.5625 4.4384 0.0000
0.0000 0.0000 7.8223
O Sr S Hg
8 1 2 1
Direct
0.0976 0.3606 0.7186
0.3333 0.6667 0.9674
0.2630 0.9024 0.7186
0.6394 0.7370 0.7186
0.3606 0.2630 0.2814
0.7370 0.0976 0.2814
0.9024 0.6394 0.2814
0.6667 0.3333 0.0326
0.0000 0.0000 0.0000
0.3333 0.6667 0.7772
0.6667 0.3333 0.2228
0.0000 0.0000 0.5000

(7)
ZrSc2Br | the Alexandria database | GGA-PBE | optimized geometry; D(E_F) = 1.184 states/eV per atom; ΔE_f (raw) = -0.46 eV per atom
1.0
9.4445 0.0016 0.0010
8.8294 3.3526 0.0010
8.8294 1.6207 2.9349
Br Zr Sc
1 1 2
Direct
0.7500 0.7500 0.7500
0.2500 0.2500 0.2500
0.4953 0.4953 0.4953
0.0047 0.0047 0.0047

(8)
Ti2Ga2Ge | the Alexandria database | GGA-PBE | optimized geometry; D(E_F) = 0.596 states/eV per atom; energy of formation from the pure elements = -36 kJ/mol of formula units
1.0
-4.2408 0.4480 -4.6415
4.7936 -3.3170 -2.3974
-2.1783 -3.3653 3.1236
Ti Ge Ga
4 2 4
Direct
0.6113 0.8887 0.7500
0.3887 0.1113 0.2500
0.1113 0.3887 0.7500
0.8887 0.6113 0.2500
0.1374 0.3626 0.2500
0.8626 0.6374 0.7500
0.4596 0.6873 0.1723
0.1873 0.9596 0.6723
0.8127 0.0404 0.3277
0.5404 0.3127 0.8277

(9)
RbCd8Hg2 | the Alexandria database | GGA-PBE | optimized geometry; D(E_F) = 0.381 states/eV per atom; energy of formation from the pure elements = 70 kJ/mol of formula units
1.0
-0.1381 -5.0011 -1.5568
1.8811 -1.5008 4.6543
-11.6202 -1.0369 4.3621
Cd Hg Rb
8 2 1
Direct
0.5000 0.5000 0.6358
0.5000 0.0000 0.7777
0.5000 0.0000 0.2223
0.0000 0.5000 0.7777
0.5000 0.0000 0.5000
0.0000 0.5000 0.2223
0.0000 0.5000 0.5000
0.5000 0.5000 0.3642
0.0000 0.0000 0.6471
0.0000 0.0000 0.3529
0.0000 0.0000 0.0000

(10)
Ac2Zn4Pt3Rh | the Alexandria database | GGA-PBE | optimized geometry; D(E_F) = 0.588 states/eV per atom; energy of formation from the pure elements = -726 kJ/mol of formula units
1.0
-0.0366 0.0857 4.4196
-3.9449 -1.9949 0.0060
4.7073 -9.3078 0.2194
Pt Ac Zn Rh
3 2 4 1
Direct
0.0000 0.5000 0.1329
0.0000 0.0000 0.5000
0.5000 0.0000 0.8671
0.0000 0.5000 0.7387
0.5000 0.0000 0.2613
0.5000 0.5000 0.0000
0.0000 0.5000 0.3770
0.0000 0.0000 0.0000
0.5000 0.0000 0.6230
0.5000 0.5000 0.5000

(11)
LaZr2Ti2 | the Alexandria database | GGA-PBE | optimized geometry; D(E_F) = 1.555 states/eV per atom; energy of formation from the pure elements = 89 kJ/mol of formula units
1.0
-7.8842 3.0094 -0.9274
-2.2161 -3.5259 7.3982
0.8638 2.7461 1.5675
Ti La Zr
4 2 4
Direct
0.8849 0.6151 0.0000
0.6151 0.1151 0.0000
0.1151 0.3849 0.0000
0.3849 0.8849 0.0000
0.0000 0.0000 0.0000
0.5000 0.5000 0.0000
0.1730 0.6730 0.5000
0.8270 0.3270 0.5000
0.3270 0.1730 0.5000
0.6730 0.8270 0.5000

(12)
Si2NiW | the Alexandria database | GGA-PBE | optimized geometry; D(E_F) = 0.487 states/eV per atom; ΔE_f (raw) = -0.20 eV per atom
1.0
-0.1730 1.2929 2.9080
-3.1745 0.1354 -0.2491
-0.3667 -4.7515 2.0907
Si W Ni
2 1 1
Direct
0.0000 0.0000 0.9759
0.5000 0.5000 0.2538
0.0000 0.0000 0.4741
0.5000 0.5000 0.7962

(13)
ScMnOs2 | the Alexandria database | GGA-PBE | optimized geometry; D(E_F) = 0.866 states/eV per atom; energy of formation from the pure elements = 26 kJ/mol of formula units
1.0
-0.8095 4.2681 -0.7260
-0.6969 1.4425 -4.1027
-4.0263 1.3009 -1.2228
Os Mn Sc
2 1 1
Direct
0.0000 0.0000 0.0000
0.7500 0.7500 0.7500
0.5000 0.5000 0.5000
0.2500 0.2500 0.2500

(14)
ZrAg3 | the Alexandria database | GGA-PBE | optimized geometry; D(E_F) = 0.483 states/eV per atom; energy of formation from the pure elements = 34 kJ/mol of formula units
1.0
-0.6433 -4.0106 4.0988
4.5255 -3.3325 1.3086
-2.3745 5.2536 -0.2441
Ag Zr
3 1
Direct
0.8379 0.7600 0.0779
0.0892 0.5000 0.5892
0.3179 0.2400 0.0779
0.5883 0.0000 0.5883

(15)
CrNi4Rh | the Alexandria database | GGA-PBE | optimized geometry; D(E_F) = 1.791 states/eV per atom; energy of formation from the pure elements = 17 kJ/mol of formula units
1.0
4.6543 1.0189 0.6656
1.4371 4.4232 2.1617
0.8309 0.4841 7.5490
Cr Ni Rh
2 8 2
Direct
0.7427 0.2096 0.0608
0.2573 0.7904 0.9392
0.7629 0.2095 0.7190
0.2479 0.7942 0.6105
0.7470 0.7108 0.3918
0.2371 0.7905 0.2810
0.2617 0.2840 0.2846
0.2530 0.2892 0.6082
0.7521 0.2058 0.3895
0.7383 0.7160 0.7154
0.2472 0.2952 0.9371
0.7528 0.7048 0.0629

(16)
Sc2WC | the Alexandria database | GGA-PBE | optimized geometry; D(E_F) = 0.878 states/eV per atom; energy of formation from the pure elements = 469 kJ/mol of formula units
1.0
1.7547 0.0000 9.0879
-0.8773 1.5196 9.0879
-0.8773 -1.5196 9.0879
W C Sc
1 1 2
Direct
0.5000 0.5000 0.5000
0.0000 0.0000 0.0000
0.0796 0.0796 0.0796
0.9204 0.9204 0.9204

Number 1: magnetization 0.00 μB/cell, volume 180.2 Å³ per cell. Number 2: magnetization 0.00 μB/cell, volume 66.5 Å³ per cell. Number 3: magnetization 5.00 μB/cell, volume 145.1 Å³ per cell. Number 4: magnetization 0.00 μB/cell, volume 673.3 Å³ per cell. Number 5: magnetization 0.00 μB/cell, volume 64.7 Å³ per cell. Number 6: magnetization 0.00 μB/cell, volume 177.9 Å³ per cell. Number 7: magnetization 0.00 μB/cell, volume 92.9 Å³ per cell. Number 8: magnetization 0.00 μB/cell, volume 182.2 Å³ per cell. Number 9: magnetization 0.00 μB/cell, volume 341.9 Å³ per cell. Number 10: magnetization 0.00 μB/cell, volume 203.9 Å³ per cell. Number 11: magnetization 0.00 μB/cell, volume 236.3 Å³ per cell. Number 12: magnetization 0.00 μB/cell, volume 52.9 Å³ per cell. Number 13: magnetization 2.88 μB/cell, volume 60.4 Å³ per cell. Number 14: magnetization 0.00 μB/cell, volume 76.9 Å³ per cell. Number 15: magnetization 1.96 μB/cell, volume 139.3 Å³ per cell. Number 16: magnetization 0.00 μB/cell, volume 72.7 Å³ per cell.